Record 1
P2HRuS | PBE-GGA | optimized geometry

For the energy above the most stable polymorph in this dataset, the calculation gives 0.000 eV per atom.

The structure in CIF format:
```
data_P2HRuS
_chemical_formula_sum 'P2 H1 Ru1 S1'
_cell_length_a 3.628
_cell_length_b 3.628
_cell_length_c 4.622
_cell_angle_alpha 90.00
_cell_angle_beta 90.00
_cell_angle_gamma 90.00
_space_group_name_H-M_alt 'P 4/m m m'
_space_group_IT_number 123
_space_group_name_Hall '-P 4 2'
loop_
_atom_site_label
_atom_site_type_symbol
_atom_site_fract_x
_atom_site_fract_y
_atom_site_fract_z
P1 P 0.000 0.500 0.000
H1 H 0.000 0.000 0.000
Ru1 Ru 0.500 0.500 0.500
S1 S 0.000 0.000 0.500
```



Record 2
P2HRuS | PBE-GGA | optimized geometry

For the energy above the most stable polymorph in this dataset, the calculation gives 0.258 eV per atom.

The structure in CIF format:
```
data_P2HRuS
_chemical_formula_sum 'P2 H1 Ru1 S1'
_cell_length_a 4.489
_cell_length_b 4.489
_cell_length_c 4.928
_cell_angle_alpha 90.00
_cell_angle_beta 90.00
_cell_angle_gamma 90.00
_space_group_name_H-M_alt 'P 4/m m m'
_space_group_IT_number 123
_space_group_name_Hall '-P 4 2'
loop_
_atom_site_label
_atom_site_type_symbol
_atom_site_fract_x
_atom_site_fract_y
_atom_site_fract_z
P1 P 0.000 0.500 0.000
H1 H 0.000 0.000 0.500
Ru1 Ru 0.500 0.500 0.000
S1 S 0.500 0.500 0.500
```



Record 3
ScPHRu | PBE-GGA | optimized geometry

The structure in CIF format:
```
data_ScPHRu
_chemical_formula_sum 'Sc2 P2 H2 Ru2'
_cell_length_a 3.924
_cell_length_b 3.924
_cell_length_c 6.615
_cell_angle_alpha 90.00
_cell_angle_beta 90.00
_cell_angle_gamma 90.00
_space_group_name_H-M_alt 'P 4/n m m'
_space_group_IT_number 129
loop_
_space_group_symop_operation_xyz
'x,y,z'
'-x,-y,-z'
'-y+1/2,x,z'
'y+1/2,-x,-z'
'-x+1/2,-y+1/2,z'
'x+1/2,y+1/2,-z'
'y,-x+1/2,z'
'-y,x+1/2,-z'
'x+1/2,-y,-z'
'-x+1/2,y,z'
'-y,-x,-z'
'y,x,z'
'-x,y+1/2,-z'
'x,-y+1/2,z'
'y+1/2,x+1/2,-z'
'-y+1/2,-x+1/2,z'
loop_
_atom_site_label
_atom_site_type_symbol
_atom_site_fract_x
_atom_site_fract_y
_atom_site_fract_z
Sc1 Sc 0.250 0.250 0.146
P1 P 0.250 0.250 0.690
H1 H 0.250 0.750 0.000
Ru1 Ru 0.250 0.750 0.500
```



Record 4
SiPHRu | PBE-GGA | optimized geometry

For the energy above the most stable polymorph in this dataset, the calculation gives 0.216 eV per atom.

The structure in CIF format:
```
data_SiPHRu
_chemical_formula_sum 'Si2 P2 H2 Ru2'
_cell_length_a 6.694
_cell_length_b 2.865
_cell_length_c 5.899
_cell_angle_alpha 90.00
_cell_angle_beta 112.02
_cell_angle_gamma 90.00
_space_group_name_H-M_alt 'C 1 m 1'
_space_group_IT_number 8
loop_
_space_group_symop_operation_xyz
'x,y,z'
'x,-y,z'
'x+1/2,y+1/2,z'
'x+1/2,-y+1/2,z'
loop_
_atom_site_label
_atom_site_type_symbol
_atom_site_fract_x
_atom_site_fract_y
_atom_site_fract_z
Si1 Si 0.000 0.000 0.000
P1 P 0.045 0.000 0.416
H1 H 0.242 0.000 0.094
Ru1 Ru 0.409 0.000 0.634
```



Number 1: energy -4.7375 eV per atom. Number 2: energy -4.4798 eV per atom. Number 3: energy -6.9259 eV per atom. Number 4: energy -5.8720 eV per atom.